# YTa3Te PBE optimized geometry
# polymorph energy (0 for the lowest one): 1004 meV per atom
# uncorrected energy: -6.781 eV per atom
# E_form (uncorrected): 2252 meV per atom
data_YTa3Te
_chemical_formula_sum 'Y1 Ta3 Te1'
_cell_length_a 5.0109
_cell_length_b 5.0109
_cell_length_c 5.0109
_cell_angle_alpha 90.00
_cell_angle_beta 90.00
_cell_angle_gamma 90.00
_space_group_name_H-M_alt 'P m -3 m'
_space_group_IT_number 221
_space_group_name_Hall '-P 4 2 3'
loop_
_atom_site_label
_atom_site_type_symbol
_atom_site_fract_x
_atom_site_fract_y
_atom_site_fract_z
Y1 Y 0.0000 0.0000 0.0000
Ta1 Ta 0.0000 0.0000 0.5000
Te1 Te 0.5000 0.5000 0.5000

---

# PrGd2Au PBE optimized geometry
# polymorph energy (0 for the lowest one): 205 meV per atom
# uncorrected energy: -9.251 eV per atom
data_PrGd2Au
_chemical_formula_sum 'Pr4 Gd8 Au4'
_cell_length_a 7.5732
_cell_length_b 7.5732
_cell_length_c 7.5732
_cell_angle_alpha 90.00
_cell_angle_beta 90.00
_cell_angle_gamma 90.00
_space_group_name_H-M_alt 'F m -3 m'
_space_group_IT_number 225
_space_group_name_Hall '-F 4 2 3'
loop_
_atom_site_label
_atom_site_type_symbol
_atom_site_fract_x
_atom_site_fract_y
_atom_site_fract_z
Pr1 Pr 0.0000 0.0000 0.0000
Gd1 Gd 0.2500 0.2500 0.2500
Au1 Au 0.0000 0.0000 0.5000

---

# TiCd6 PBE optimized geometry
# uncorrected energy: -1.100 eV per atom
data_TiCd6
_chemical_formula_sum 'Ti2 Cd12'
_cell_length_a 7.8422
_cell_length_b 7.8422
_cell_length_c 7.8422
_cell_angle_alpha 90.00
_cell_angle_beta 90.00
_cell_angle_gamma 90.00
_space_group_name_H-M_alt 'I m -3 m'
_space_group_IT_number 229
_space_group_name_Hall '-I 4 2 3'
loop_
_atom_site_label
_atom_site_type_symbol
_atom_site_fract_x
_atom_site_fract_y
_atom_site_fract_z
Ti1 Ti 0.0000 0.0000 0.0000
Cd1 Cd 0.0000 0.2500 0.5000

---

# TaCr2Ge PBE optimized geometry
# uncorrected energy: -8.215 eV per atom
data_TaCr2Ge
_chemical_formula_sum 'Ta4 Cr8 Ge4'
_cell_length_a 6.9242
_cell_length_b 6.9242
_cell_length_c 5.2017
_cell_angle_alpha 90.00
_cell_angle_beta 90.00
_cell_angle_gamma 90.00
_space_group_name_H-M_alt 'I -4 2 d'
_space_group_IT_number 122
_space_group_name_Hall 'I -4 2bw'
loop_
_atom_site_label
_atom_site_type_symbol
_atom_site_fract_x
_atom_site_fract_y
_atom_site_fract_z
Ta1 Ta 0.0000 0.0000 0.0000
Cr1 Cr 0.2273 0.2500 0.6250
Ge1 Ge 0.0000 0.0000 0.5000

---

# CrFeRe PBE optimized geometry
# polymorph energy (0 for the lowest one): 122 meV per atom
# uncorrected energy: -10.092 eV per atom
data_CrFeRe
_chemical_formula_sum 'Cr4 Fe4 Re4'
_cell_length_a 3.6079
_cell_length_b 11.2659
_cell_length_c 3.6655
_cell_angle_alpha 90.00
_cell_angle_beta 90.00
_cell_angle_gamma 90.00
_space_group_name_H-M_alt 'C m c m'
_space_group_IT_number 63
_space_group_name_Hall '-C 2c 2'
loop_
_atom_site_label
_atom_site_type_symbol
_atom_site_fract_x
_atom_site_fract_y
_atom_site_fract_z
Cr1 Cr 0.0000 0.0936 0.2500
Fe1 Fe 0.0000 0.2499 0.7500
Re1 Re 0.0000 0.4069 0.2500

---

# SnH2SO PBE optimized geometry
# uncorrected energy: -4.093 eV per atom
data_SnH2SO
_chemical_formula_sum 'Sn1 H2 S1 O1'
_cell_length_a 3.3104
_cell_length_b 3.3104
_cell_length_c 8.1270
_cell_angle_alpha 90.00
_cell_angle_beta 90.00
_cell_angle_gamma 90.00
_space_group_name_H-M_alt 'P 4/m m m'
_space_group_IT_number 123
_space_group_name_Hall '-P 4 2'
loop_
_atom_site_label
_atom_site_type_symbol
_atom_site_fract_x
_atom_site_fract_y
_atom_site_fract_z
Sn1 Sn 0.0000 0.0000 0.0000
H1 H 0.0000 0.5000 0.5000
S1 S 0.5000 0.5000 0.5000
O1 O 0.5000 0.5000 0.0000

---

# Zr4CuPd7 PBE optimized geometry
# uncorrected energy: -6.612 eV per atom
data_Zr4CuPd7
_chemical_formula_sum 'Zr8 Cu2 Pd14'
_cell_length_a 10.7616
_cell_length_b 4.8660
_cell_length_c 9.7795
_cell_angle_alpha 90.00
_cell_angle_beta 118.53
_cell_angle_gamma 90.00
_space_group_name_H-M_alt 'C 1 2/m 1'
_space_group_IT_number 12
_space_group_name_Hall '-C 2y'
loop_
_atom_site_label
_atom_site_type_symbol
_atom_site_fract_x
_atom_site_fract_y
_atom_site_fract_z
Zr1 Zr 0.0870 0.0000 0.2810
Zr2 Zr 0.2394 0.5000 0.1591
Cu1 Cu 0.0000 0.5000 0.5000
Pd1 Pd 0.0000 0.0000 0.5000
Pd2 Pd 0.0781 0.5000 0.8223
Pd3 Pd 0.1328 0.0000 0.0274
Pd4 Pd 0.2030 0.5000 0.4136

---

# NaCr PBE optimized geometry
# polymorph energy (0 for the lowest one): 747 meV per atom
# uncorrected energy: -3.937 eV per atom
data_NaCr
_chemical_formula_sum 'Na2 Cr2'
_cell_length_a 5.3779
_cell_length_b 5.3779
_cell_length_c 6.1929
_cell_angle_alpha 90.00
_cell_angle_beta 90.00
_cell_angle_gamma 120.00
_space_group_name_H-M_alt 'P 63/m m c'
_space_group_IT_number 194
_space_group_name_Hall '-P 6c 2c'
loop_
_atom_site_label
_atom_site_type_symbol
_atom_site_fract_x
_atom_site_fract_y
_atom_site_fract_z
Na1 Na 0.3333 0.6667 0.2500
Cr1 Cr 0.3333 0.6667 0.7500